# BaNaSeF

A relaxed BaNaSeF crystal (PBE, Alexandria via LeMat-Bulk).

Results
M_tot   0.000 μB per atom
Mass density   4.28 g cm⁻³
Calculated total energy   -35.9 eV for the cell shown
N(E_F)   0.00 states/eV per cell

```
data_BaNaSeF
_cell_length_a 4.471
_cell_length_b 4.471
_cell_length_c 10.034
_cell_angle_alpha 90.00
_cell_angle_beta 90.00
_cell_angle_gamma 90.00
_symmetry_space_group_name_H-M 'P 4/n m m'
_symmetry_Int_Tables_number 129
loop_
_symmetry_equiv_pos_as_xyz
'x,y,z'
'-x,-y,-z'
'-y+1/2,x,z'
'y+1/2,-x,-z'
'-x+1/2,-y+1/2,z'
'x+1/2,y+1/2,-z'
'y,-x+1/2,z'
'-y,x+1/2,-z'
'x+1/2,-y,-z'
'-x+1/2,y,z'
'-y,-x,-z'
'y,x,z'
'-x,y+1/2,-z'
'x,-y+1/2,z'
'y+1/2,x+1/2,-z'
'-y+1/2,-x+1/2,z'
loop_
_atom_site_label
_atom_site_type_symbol
_atom_site_fract_x
_atom_site_fract_y
_atom_site_fract_z
Ba1 Ba 0.250 0.250 0.149
Na1 Na 0.250 0.750 0.500
Se1 Se 0.250 0.250 0.685
F1 F 0.250 0.750 0.000
```